FePRuO2 PBE+U relaxed; polymorph energy (0 for the lowest one) = 0 meV/atom; spin magnetization = 5.1 μB per formula unit; SG = P4/mmm, No. 123
1.0
3.772 0.000 0.000
0.000 3.772 0.000
0.000 0.000 5.170
Ru Fe O P
1 1 2 1
direct
0.000 0.000 0.000
0.500 0.500 0.500
0.000 0.500 0.000
0.500 0.000 0.000
0.000 0.000 0.500